## AgP2Pb (GGA-PBE)

Data for crystalline AgP2Pb at its relaxed geometry.

Computed properties:
* energy of formation from the pure elements: 0.138 eV per atom
* uncorrected energy: -4.21 eV/atom

Geometry as CIF:
```
data_AgP2Pb
_chemical_formula_sum 'Ag2 P4 Pb2'
_symmetry_space_group_name_H-M 'C 1 m 1'
_symmetry_Int_Tables_number 8
_cell_length_a 8.227
_cell_length_b 3.267
_cell_length_c 7.109
_cell_angle_alpha 90.00
_cell_angle_beta 111.77
_cell_angle_gamma 90.00
loop_
_symmetry_equiv_pos_as_xyz
'x,y,z'
'x,-y,z'
'x+1/2,y+1/2,z'
'x+1/2,-y+1/2,z'
loop_
_atom_site_label
_atom_site_type_symbol
_atom_site_fract_x
_atom_site_fract_y
_atom_site_fract_z
Ag1 Ag 0.000 0.000 0.000
P1 P 0.281 0.500 0.175
P2 P 0.356 0.000 0.401
Pb1 Pb 0.192 0.000 0.689
```